Density functional theory data (GGA-PBE) for AsP2Os after structural relaxation.

Cell lengths 2.8472, 2.8472, 8.2129 Å; angles 90.00, 90.00, 90.00 degrees
Last column: nearest neighbours and their distance in Å.
Space group P4/mmm (No. 123)
Symmetry-distinct sites (fractional):
As 0.0000 0.0000 0.0000 (multiplicity 1)  4 As 2.85
P 0.5000 0.5000 0.3141 (multiplicity 2)  4 Os 2.53
Os 0.0000 0.0000 0.5000 (multiplicity 1)  8 P 2.53

Values from the calculation:
**E**: -6.413 eV per atom
**Energy relative to the elements**: 0.26 eV/atom